A plane-wave DFT calculation with PBE was carried out for a relaxed Be2SiPb crystal.

Summary:
Distance to the lowest polymorph of the same formula: 582 meV per atom
Energy relative to the elements, uncorrected: 3.35 eV per formula unit

a = 3.7304 Å, b = 3.7304 Å, c = 9.4144 Å
α = 90.00°, β = 90.00°, γ = 90.00°
Last column: nearest neighbours and their distance in Å.
Space group I-4m2 (No. 119)
Symmetry-distinct sites (fractional):
1 Be 0.0000 0.0000 0.0000 (multiplicity 2)  4 Si 2.64
2 Be 0.0000 0.5000 0.2500 (multiplicity 2)  4 Pb 2.64
3 Si 0.0000 0.0000 0.5000 (multiplicity 2)  4 Be 2.64
4 Pb 0.0000 0.5000 0.7500 (multiplicity 2)  4 Be 2.64